(1)
{"formula": "Tc3B2", "functional": "PBE-GGA", "state": "optimized geometry", "n_ef_per_ev_atom": 0.6006, "final_energy_ev_per_fu": -45.94, "magmom_total_mub_per_cell": 0.0, "lattice_angstrom": [[8.757, 0.000, 0.000], [0.000, 2.960, 0.000], [0.000, 0.000, 8.663]], "species": ["Tc", "Tc", "Tc", "Tc", "Tc", "Tc", "Tc", "Tc", "Tc", "Tc", "Tc", "Tc", "B", "B", "B", "B", "B", "B", "B", "B"], "frac_coords": [[0.067, 0.250, 0.131], [0.114, 0.750, 0.573], [0.201, 0.250, 0.815], [0.299, 0.750, 0.315], [0.386, 0.250, 0.073], [0.433, 0.750, 0.631], [0.567, 0.250, 0.369], [0.614, 0.750, 0.927], [0.701, 0.250, 0.685], [0.799, 0.750, 0.185], [0.886, 0.250, 0.427], [0.933, 0.750, 0.869], [0.047, 0.750, 0.326], [0.204, 0.750, 0.001], [0.296, 0.250, 0.501], [0.453, 0.250, 0.826], [0.547, 0.750, 0.174], [0.704, 0.750, 0.499], [0.796, 0.250, 0.999], [0.953, 0.250, 0.674]]}

***

(2)
{"formula": "Tc3B", "functional": "PBE-GGA", "state": "optimized geometry", "n_ef_per_ev_atom": 0.9336, "final_energy_ev_per_fu": -38.17, "magmom_total_mub_per_cell": 0.0, "lattice_angstrom": [[-1.453, 3.735, 2.333], [1.453, -3.735, 2.333], [1.453, 3.735, -2.333]], "species": ["Tc", "Tc", "Tc", "B"], "frac_coords": [[0.000, 0.000, 0.000], [0.274, 0.467, 0.807], [0.660, 0.467, 0.193], [0.662, 0.162, 0.500]]}

***

(3)
{"formula": "TcB", "functional": "PBE-GGA", "state": "optimized geometry", "n_ef_per_ev_atom": 0.4813, "final_energy_ev_per_fu": -16.77, "magmom_total_mub_per_cell": 0.0, "lattice_angstrom": [[2.974, 0.000, 0.000], [0.000, 4.078, 3.038], [0.000, -4.078, 3.038]], "species": ["Tc", "Tc", "Tc", "B", "B", "B"], "frac_coords": [[0.000, 0.000, 0.000], [0.500, 0.004, 0.513], [0.500, 0.513, 0.004], [0.000, 0.284, 0.727], [0.000, 0.727, 0.284], [0.500, 0.734, 0.734]]}

***

(4)
{"formula": "Tc3B", "functional": "PBE-GGA", "state": "optimized geometry", "n_ef_per_ev_atom": 0.6847, "final_energy_ev_per_fu": -38.42, "magmom_total_mub_per_cell": 0.0, "lattice_angstrom": [[5.525, 0.000, 0.000], [0.000, 2.898, 0.000], [-1.407, 0.000, 6.276]], "species": ["Tc", "Tc", "Tc", "Tc", "Tc", "Tc", "B", "B"], "frac_coords": [[0.063, 0.250, 0.342], [0.262, 0.250, 0.968], [0.397, 0.750, 0.639], [0.603, 0.250, 0.361], [0.738, 0.750, 0.032], [0.937, 0.750, 0.658], [0.309, 0.750, 0.234], [0.691, 0.250, 0.766]]}

***

(5)
{"formula": "TcB4", "functional": "PBE-GGA", "state": "optimized geometry", "n_ef_per_ev_atom": 0.5561, "final_energy_ev_per_fu": -35.24, "magmom_total_mub_per_cell": 1.5, "lattice_angstrom": [[5.287, 0.000, 0.000], [-2.643, 4.578, 0.000], [0.000, 0.000, 6.551]], "species": ["Tc", "Tc", "Tc", "Tc", "B", "B", "B", "B", "B", "B", "B", "B", "B", "B", "B", "B", "B", "B", "B", "B"], "frac_coords": [[0.000, 0.000, 0.250], [0.000, 0.000, 0.750], [0.333, 0.667, 0.250], [0.667, 0.333, 0.750], [0.000, 0.336, 0.000], [0.000, 0.336, 0.500], [0.000, 0.664, 0.000], [0.000, 0.664, 0.500], [0.333, 0.667, 0.620], [0.333, 0.667, 0.880], [0.336, 0.000, 0.000], [0.336, 0.000, 0.500], [0.336, 0.336, 0.000], [0.336, 0.336, 0.500], [0.664, 0.000, 0.000], [0.664, 0.000, 0.500], [0.664, 0.664, 0.000], [0.664, 0.664, 0.500], [0.667, 0.333, 0.120], [0.667, 0.333, 0.380]]}

***

(6)
{"formula": "TcB", "functional": "PBE-GGA", "state": "optimized geometry", "n_ef_per_ev_atom": 0.3553, "final_energy_ev_per_fu": -17.06, "magmom_total_mub_per_cell": 0.0, "lattice_angstrom": [[-3.369, 3.369, 2.144], [3.369, -3.369, 2.144], [3.369, 3.369, -2.144]], "species": ["Tc", "Tc", "Tc", "Tc", "B", "B", "B", "B"], "frac_coords": [[0.113, 0.322, 0.435], [0.322, 0.887, 0.208], [0.678, 0.113, 0.792], [0.887, 0.678, 0.565], [0.243, 0.590, 0.833], [0.410, 0.243, 0.652], [0.590, 0.757, 0.348], [0.757, 0.410, 0.167]]}

***

(7)
{"formula": "TcB", "functional": "PBE-GGA", "state": "optimized geometry", "n_ef_per_ev_atom": 0.2241, "final_energy_ev_per_fu": -17.15, "magmom_total_mub_per_cell": 0.0, "lattice_angstrom": [[3.644, 0.000, 0.000], [-1.822, 3.156, 0.000], [0.000, 0.000, 4.291]], "species": ["Tc", "Tc", "B", "B"], "frac_coords": [[0.333, 0.667, 0.250], [0.667, 0.333, 0.750], [0.333, 0.667, 0.750], [0.667, 0.333, 0.250]]}

***

(8)
{"formula": "TcB", "functional": "PBE-GGA", "state": "optimized geometry", "n_ef_per_ev_atom": 0.5876, "final_energy_ev_per_fu": -15.48, "magmom_total_mub_per_cell": 0.0, "lattice_angstrom": [[-3.250, 3.250, 3.250], [3.250, -3.250, 3.250], [3.250, 3.250, -3.250]], "species": ["Tc", "Tc", "Tc", "Tc", "B", "B", "B", "B"], "frac_coords": [[0.000, 0.000, 0.311], [0.000, 0.311, 0.000], [0.311, 0.000, 0.000], [0.689, 0.689, 0.689], [0.000, 0.000, 0.676], [0.000, 0.676, 0.000], [0.324, 0.324, 0.324], [0.676, 0.000, 0.000]]}

***

(9)
{"formula": "Tc4B", "functional": "PBE-GGA", "state": "optimized geometry", "n_ef_per_ev_atom": 0.8986, "final_energy_ev_per_fu": -47.45, "magmom_total_mub_per_cell": 0.0, "lattice_angstrom": [[4.076, 0.000, 0.000], [0.000, 4.076, 0.000], [0.000, 0.000, 4.076]], "species": ["Tc", "Tc", "Tc", "Tc", "B"], "frac_coords": [[0.000, 0.000, 0.000], [0.000, 0.500, 0.500], [0.500, 0.000, 0.500], [0.500, 0.500, 0.000], [0.500, 0.500, 0.500]]}

***

(10)
{"formula": "TcB", "functional": "PBE-GGA", "state": "optimized geometry", "n_ef_per_ev_atom": 0.8582, "final_energy_ev_per_fu": -15.61, "magmom_total_mub_per_cell": 0.0, "lattice_angstrom": [[0.000, 2.366, 2.366], [2.366, 0.000, 2.366], [2.366, 2.366, 0.000]], "species": ["Tc", "B"], "frac_coords": [[0.000, 0.000, 0.000], [0.250, 0.250, 0.250]]}

***

(11)
{"formula": "TcB", "functional": "PBE-GGA", "state": "optimized geometry", "n_ef_per_ev_atom": 0.6368, "final_energy_ev_per_fu": -17.59, "magmom_total_mub_per_cell": 0.0, "lattice_angstrom": [[2.914, 0.000, 0.000], [0.000, 3.465, 0.000], [-1.445, 0.000, 3.992]], "species": ["Tc", "Tc", "B", "B"], "frac_coords": [[0.142, 0.250, 0.281], [0.858, 0.750, 0.719], [0.434, 0.250, 0.857], [0.566, 0.750, 0.143]]}

***

(12)
{"formula": "Tc3B2", "functional": "PBE-GGA", "state": "optimized geometry", "n_ef_per_ev_atom": 0.6693, "final_energy_ev_per_fu": -45.76, "magmom_total_mub_per_cell": 0.0, "lattice_angstrom": [[-1.492, 2.431, 3.818], [1.492, -2.431, 3.818], [1.492, 2.431, -3.818]], "species": ["Tc", "Tc", "Tc", "B", "B"], "frac_coords": [[0.000, 0.000, 0.000], [0.304, 0.804, 0.500], [0.696, 0.196, 0.500], [0.321, 0.500, 0.821], [0.679, 0.500, 0.179]]}

***

(13)
{"formula": "TcB", "functional": "PBE-GGA", "state": "optimized geometry", "n_ef_per_ev_atom": 0.4124, "final_energy_ev_per_fu": -17.47, "magmom_total_mub_per_cell": 0.0, "lattice_angstrom": [[4.520, 0.000, 0.000], [0.000, 4.595, 0.000], [0.000, 0.000, 7.848]], "species": ["Tc", "Tc", "Tc", "Tc", "Tc", "Tc", "Tc", "Tc", "B", "B", "B", "B", "B", "B", "B", "B"], "frac_coords": [[0.152, 0.110, 0.264], [0.157, 0.402, 0.946], [0.343, 0.598, 0.446], [0.348, 0.890, 0.764], [0.652, 0.390, 0.736], [0.657, 0.098, 0.054], [0.843, 0.902, 0.554], [0.848, 0.610, 0.236], [0.112, 0.912, 0.013], [0.151, 0.316, 0.657], [0.349, 0.684, 0.157], [0.388, 0.088, 0.513], [0.612, 0.588, 0.987], [0.651, 0.184, 0.343], [0.849, 0.816, 0.843], [0.888, 0.412, 0.487]]}

***

(14)
{"formula": "TcB", "functional": "PBE-GGA", "state": "optimized geometry", "n_ef_per_ev_atom": 0.5411, "final_energy_ev_per_fu": -17.48, "magmom_total_mub_per_cell": 0.0, "lattice_angstrom": [[2.875, 0.000, 0.000], [-1.438, 2.490, 0.000], [0.000, 0.000, 5.955]], "species": ["Tc", "Tc", "B", "B"], "frac_coords": [[0.000, 0.000, 0.000], [0.000, 0.000, 0.500], [0.333, 0.667, 0.250], [0.667, 0.333, 0.750]]}

***

(15)
{"formula": "Tc4B3", "functional": "PBE-GGA", "state": "optimized geometry", "n_ef_per_ev_atom": 0.8190, "final_energy_ev_per_fu": -62.52, "magmom_total_mub_per_cell": 0.0, "lattice_angstrom": [[1.492, 0.861, 10.143], [-1.492, 0.861, 10.143], [0.000, -1.723, 10.143]], "species": ["Tc", "Tc", "Tc", "Tc", "B", "B", "B"], "frac_coords": [[0.121, 0.121, 0.121], [0.298, 0.298, 0.298], [0.702, 0.702, 0.702], [0.879, 0.879, 0.879], [0.410, 0.410, 0.410], [0.500, 0.500, 0.500], [0.590, 0.590, 0.590]]}

***

(16)
{"formula": "TcB", "functional": "PBE-GGA", "state": "optimized geometry", "n_ef_per_ev_atom": 1.0739, "final_energy_ev_per_fu": -15.68, "magmom_total_mub_per_cell": 0.0, "lattice_angstrom": [[5.793, 0.000, 0.000], [0.000, 5.793, 0.000], [0.000, 0.000, 5.793]], "species": ["Tc", "Tc", "Tc", "Tc", "Tc", "Tc", "B", "B", "B", "B", "B", "B"], "frac_coords": [[0.000, 0.250, 0.500], [0.000, 0.750, 0.500], [0.250, 0.500, 0.000], [0.500, 0.000, 0.250], [0.500, 0.000, 0.750], [0.750, 0.500, 0.000], [0.000, 0.500, 0.250], [0.000, 0.500, 0.750], [0.250, 0.000, 0.500], [0.500, 0.250, 0.000], [0.500, 0.750, 0.000], [0.750, 0.000, 0.500]]}

***

(17)
{"formula": "Tc3B", "functional": "PBE-GGA", "state": "optimized geometry", "n_ef_per_ev_atom": 0.8882, "final_energy_ev_per_fu": -37.38, "magmom_total_mub_per_cell": 0.0, "lattice_angstrom": [[2.821, 0.000, 0.000], [0.000, 2.852, 0.000], [0.000, 0.000, 6.547]], "species": ["Tc", "Tc", "Tc", "B"], "frac_coords": [[0.000, 0.000, 0.000], [0.000, 0.500, 0.347], [0.500, 0.500, 0.734], [0.500, 0.000, 0.480]]}

***

(18)
{"formula": "Tc3B", "functional": "PBE-GGA", "state": "optimized geometry", "n_ef_per_ev_atom": 0.7694, "final_energy_ev_per_fu": -38.82, "magmom_total_mub_per_cell": 0.0, "lattice_angstrom": [[1.461, -4.639, 0.000], [1.461, 4.639, 0.000], [0.000, 0.000, 7.264]], "species": ["Tc", "Tc", "Tc", "Tc", "Tc", "Tc", "B", "B"], "frac_coords": [[0.075, 0.925, 0.750], [0.365, 0.635, 0.562], [0.365, 0.635, 0.938], [0.635, 0.365, 0.062], [0.635, 0.365, 0.438], [0.925, 0.075, 0.250], [0.244, 0.756, 0.250], [0.756, 0.244, 0.750]]}

***

(19)
{"formula": "TcB", "functional": "PBE-GGA", "state": "optimized geometry", "n_ef_per_ev_atom": 0.6553, "final_energy_ev_per_fu": -16.78, "magmom_total_mub_per_cell": 0.0, "lattice_angstrom": [[2.731, 0.000, 0.000], [0.000, 2.731, 0.000], [0.000, 0.000, 2.731]], "species": ["Tc", "B"], "frac_coords": [[0.000, 0.000, 0.000], [0.500, 0.500, 0.500]]}

***

(20)
{"formula": "TcB", "functional": "PBE-GGA", "state": "optimized geometry", "n_ef_per_ev_atom": 0.4601, "final_energy_ev_per_fu": -17.60, "magmom_total_mub_per_cell": 0.0, "lattice_angstrom": [[2.882, 0.000, 0.000], [-1.441, 2.496, 0.000], [0.000, 0.000, 2.945]], "species": ["Tc", "B"], "frac_coords": [[0.000, 0.000, 0.000], [0.333, 0.667, 0.500]]}

***

(21)
{"formula": "Tc5B3", "functional": "PBE-GGA", "state": "optimized geometry", "n_ef_per_ev_atom": 0.8534, "final_energy_ev_per_fu": -73.83, "magmom_total_mub_per_cell": 0.0, "lattice_angstrom": [[-2.740, 2.740, 5.972], [2.740, -2.740, 5.972], [2.740, 2.740, -5.972]], "species": ["Tc", "Tc", "Tc", "Tc", "Tc", "Tc", "Tc", "Tc", "Tc", "Tc", "B", "B", "B", "B", "B", "B"], "frac_coords": [[0.000, 0.000, 0.000], [0.022, 0.522, 0.847], [0.175, 0.022, 0.500], [0.325, 0.825, 0.847], [0.478, 0.325, 0.500], [0.500, 0.500, 0.000], [0.522, 0.675, 0.500], [0.675, 0.175, 0.153], [0.825, 0.978, 0.500], [0.978, 0.478, 0.153], [0.119, 0.381, 0.500], [0.250, 0.250, 0.000], [0.381, 0.881, 0.262], [0.619, 0.119, 0.738], [0.750, 0.750, 0.000], [0.881, 0.619, 0.500]]}

***

(22)
{"formula": "TcBTe2", "functional": "PBE-GGA", "state": "optimized geometry", "n_ef_per_ev_atom": 0.3130, "raw_formation_energy_mev_per_atom": 918, "final_energy_ev_per_fu": -19.66, "magmom_total_mub_per_cell": 0.0, "lattice_angstrom": [[2.071, 1.196, 6.795], [-2.071, 1.196, 6.795], [0.000, -2.391, 6.795]], "species": ["Tc", "B", "Te", "Te"], "frac_coords": [[0.000, 0.000, 0.000], [0.500, 0.500, 0.500], [0.396, 0.396, 0.396], [0.604, 0.604, 0.604]]}

***

(23)
{"formula": "Tc3BTe", "functional": "PBE-GGA", "state": "optimized geometry", "n_ef_per_ev_atom": 0.8724, "raw_formation_energy_mev_per_atom": 2686, "final_energy_ev_per_fu": -27.49, "magmom_total_mub_per_cell": 3.3, "lattice_angstrom": [[4.842, 0.000, 0.000], [0.000, 4.842, 0.000], [0.000, 0.000, 4.842]], "species": ["Tc", "Tc", "Tc", "B", "Te"], "frac_coords": [[0.000, 0.000, 0.500], [0.000, 0.500, 0.000], [0.500, 0.000, 0.000], [0.500, 0.500, 0.500], [0.000, 0.000, 0.000]]}

***

(24)
{"formula": "TcBTe3", "functional": "PBE-GGA", "state": "optimized geometry", "n_ef_per_ev_atom": 1.2278, "raw_formation_energy_mev_per_atom": 1364, "final_energy_ev_per_fu": -19.65, "magmom_total_mub_per_cell": 0.0, "lattice_angstrom": [[5.226, 0.000, 0.000], [0.000, 5.226, 0.000], [0.000, 0.000, 5.226]], "species": ["Tc", "B", "Te", "Te", "Te"], "frac_coords": [[0.000, 0.000, 0.000], [0.500, 0.500, 0.500], [0.000, 0.000, 0.500], [0.000, 0.500, 0.000], [0.500, 0.000, 0.000]]}